(1)
Density functional theory data (GGA+U) for a relaxed structure of CrGaAg2F8.

Results
**Final energy**: -56.4 eV for the cell shown

```
12
Lattice="5.4198 -0.1285 -0.0028 -0.0816 5.3784 -0.0063 0.0024 0.0081 6.1895" Properties=species:S:1:pos:R:3 pbc="T T T"
Ag 2.6709 2.6310 4.6522
Cr 0.0012 0.0040 3.0948
F 4.5450 0.7845 1.5461
Ga 0.0000 0.0000 0.0000
F 3.9602 3.9266 3.0880
F 4.0062 3.9789 6.1826
Ag 2.6697 2.6270 1.5283
F 4.5462 0.7886 4.6363
F 0.7944 4.4694 1.5442
F 0.7957 4.4735 4.6343
F 1.3344 1.2791 -0.0022
F 1.3804 1.3314 3.0925
```


(2)
Density functional theory data (GGA+U) for a relaxed structure of CrAg2HgF8.

Results
**Final energy**: -49.2 eV for the cell shown

```
12
Lattice="5.1004 -0.1862 -0.0028 -0.1825 5.3036 -0.0059 0.0036 0.0077 7.0015" Properties=species:S:1:pos:R:3 pbc="T T T"
F 0.7480 4.3856 5.5497
Hg 0.0018 0.0038 3.5008
F 3.5461 3.7002 -0.0061
F 0.7459 4.3811 1.4411
F 1.3753 1.4248 6.9989
F 3.3665 3.5242 3.4945
Cr 0.0000 0.0000 0.0000
Ag 2.4616 2.5645 5.3216
Ag 2.4599 2.5606 1.6712
F 4.1755 0.7439 5.5517
F 1.5549 1.6009 3.4983
F 4.1735 0.7395 1.4431
```


(3)
Density functional theory data (GGA+U) for a relaxed structure of CrAgIF2.

Results
**Final energy**: -23.2 eV for the cell shown

```
5
Lattice="-3.4628 -1.0569 -1.8547 1.9710 -0.2254 -3.5514 1.3511 -6.4625 1.1599" Properties=species:S:1:pos:R:3 pbc="T T T"
I 0.6755 -3.2312 0.5800
Ag -0.0704 -3.8723 -2.1231
F -1.7314 -0.5284 -0.9274
F 0.9855 -0.1127 -1.7757
Cr 0.0000 0.0000 0.0000
```


(4)
Density functional theory data (GGA+U) for a relaxed structure of CrAg3I2F6.

Results
**Final energy**: -46.9 eV for the cell shown

```
12
Lattice="5.5388 0.0000 0.3656 0.0000 6.3555 0.0000 -0.1538 -3.1778 6.3342" Properties=species:S:1:pos:R:3 pbc="T T T"
F 3.7790 4.9492 1.1046
F 1.6276 0.0000 1.7348
F 3.7790 1.4063 1.1046
F 1.6060 -1.7715 5.5952
F 1.6060 1.7715 5.5952
Ag 0.0000 3.1778 0.0000
Cr 2.7694 0.0000 0.1828
I 4.8344 0.0000 4.0261
Ag 2.6925 -1.5889 3.3499
Ag 2.6925 1.5889 3.3499
I 0.5506 3.1778 2.6737
F 3.7574 3.1778 4.9650
```


(5)
Density functional theory data (GGA+U) for a relaxed structure of CrInAgF6.

Results
**Final energy**: -86.5 eV for the cell shown

```
18
Lattice="-5.3847 -1.8759 0.3746 4.3486 -3.6546 0.6229 0.0716 1.7786 9.9349" Properties=species:S:1:pos:R:3 pbc="T T T"
F -0.3511 -0.4987 8.8945
F -3.3345 0.3098 8.7713
F 0.9565 -4.1736 4.4161
Ag 0.0358 0.8893 4.9675
F -0.6416 -2.3522 7.0038
F -2.5508 -2.6369 9.2932
F -0.3229 -1.3996 3.9287
Cr -2.0866 -1.1348 7.9086
In -2.1224 -2.0241 2.9411
Ag 0.0000 0.0000 0.0000
Cr 1.1221 -2.6170 3.0239
F 2.3700 -4.0617 2.1612
F -0.6134 -3.2532 2.0380
F -1.9211 0.4218 6.5164
F 2.7559 -1.6990 3.9601
F -3.7204 -2.0529 6.9724
F 1.5863 -1.1150 1.6393
In 1.1579 -1.7277 7.9914
```


(6)
Density functional theory data (GGA+U) for a relaxed structure of Cr2AgIrF.

Results
**Final energy**: -25.3 eV for the cell shown

```
5
Lattice="4.8865 0.0000 0.0000 0.0000 5.1269 0.0000 0.0000 0.0000 4.8865" Properties=species:S:1:pos:R:3 pbc="T T T"
F 2.4432 2.5634 2.4432
Ir 0.0000 0.0000 0.0000
Ag 0.0000 2.5634 0.0000
Cr 0.0000 0.0000 2.4432
Cr 2.4432 0.0000 0.0000
```


(7)
Density functional theory data (GGA+U) for a relaxed structure of K2CrAgF6.

Results
**Final energy**: -48.7 eV for the cell shown

```
10
Lattice="-4.7901 -3.0370 2.4090 -1.3830 -2.1359 -5.4427 5.5360 -0.9494 2.2821" Properties=species:S:1:pos:R:3 pbc="T T T"
F 3.8932 -1.8748 1.2665
F 3.2593 -2.8538 -1.2282
Ag -2.3950 -1.5185 1.2045
Cr -0.6915 -1.0680 -2.7213
F -3.8964 -3.2686 0.4766
K -1.8779 -4.4048 -1.1104
F -0.0116 -2.8267 -2.2039
F -0.6255 -3.2957 1.4523
F -4.5303 -4.2476 -2.0180
K 1.2408 -1.7176 0.3588
```


(8)
Density functional theory data (GGA+U) for a relaxed structure of K3CrAg2F9.

Results
**Final energy**: -67.2 eV for the cell shown

```
15
Lattice="-5.6919 2.1117 1.1016 3.3808 -2.3094 4.6159 2.8164 6.8734 1.3761" Properties=species:S:1:pos:R:3 pbc="T T T"
F 1.1468 2.0359 2.0226
F -2.8459 1.0558 0.5508
K 2.3245 3.9672 4.4061
F -0.6415 4.6398 5.0710
Cr 1.4082 3.4367 0.6881
F -0.1309 1.9266 5.1835
Ag 0.8643 0.4033 3.6925
F 3.0158 0.7591 4.5745
F 0.6362 4.7491 1.9101
Ag -0.3590 6.2724 3.4011
K -1.8193 2.7085 2.6876
F 1.6904 -1.1547 2.3080
F -2.5105 5.9166 2.5191
K 0.0000 0.0000 0.0000
F -1.1555 -0.0989 2.8588
```


no.,size of the total moment (μB per formula unit)
1,2.89
2,1.95
3,4.00
4,2.27
5,3.83
6,8.40
7,2.90
8,4.06